(1)
First-principles (PBEsol) data for Ir2WSe after structural relaxation, as listed in Alexandria.

* total DFT energy (no corrections): -35.02 eV per formula unit
* distance to the lowest polymorph of the same formula: 1.23 eV per formula unit
* raw formation energy: 571.8 meV per atom
* N(E_F): 8.578 states/eV/cell

Lattice parameters (Å, degrees): 2.776 4.783 9.346 90.00 90.00 90.00
Space group Cmm2 (No. 35)
Inequivalent atoms, fractional coordinates:
Ir1 0.000 0.000 0.000 (multiplicity 2)
Ir2 0.000 0.500 0.251 (multiplicity 2)
W1 0.000 0.500 0.764 (multiplicity 2)
Se1 0.000 0.000 0.503 (multiplicity 2)

(2)
First-principles (PBEsol) data for Ta after structural relaxation, as listed in Alexandria.

* total DFT energy (no corrections): -12.54 eV per formula unit
* distance to the lowest polymorph of the same formula: 0.01 eV per formula unit
* N(E_F): 25.456 states/eV/cell

Lattice parameters (Å, degrees): 10.117 10.117 5.280 90.00 90.00 90.00
Space group P-42_1m (No. 113)
Inequivalent atoms, fractional coordinates:
Ta1 0.000 0.500 0.249 (multiplicity 2)
Ta2 0.035 0.871 0.749 (multiplicity 8)
Ta3 0.067 0.761 0.249 (multiplicity 8)
Ta4 0.105 0.605 0.748 (multiplicity 4)
Ta5 0.181 0.319 0.500 (multiplicity 4)
Ta6 0.181 0.319 0.999 (multiplicity 4)

Question: Number 1 is which compound?
Answer: Ir2WSe